## La3Pr8In (PBE)

Data for crystalline La3Pr8In at its relaxed geometry.

```
data_La3Pr8In
_symmetry_space_group_name_H-M 'I -4 2 m'
_symmetry_Int_Tables_number 121
_symmetry_space_group_name_Hall 'I -4 2'
_cell_length_a 8.8298
_cell_length_b 8.8298
_cell_length_c 11.7385
_cell_angle_alpha 90.00
_cell_angle_beta 90.00
_cell_angle_gamma 90.00
loop_
_atom_site_label
_atom_site_fract_x
_atom_site_fract_y
_atom_site_fract_z
_atom_site_occupancy
La1 0.0000 0.0000 0.0000 1
La2 0.0000 0.5000 0.2500 1
Pr1 0.1251 0.1251 0.2501 1
Pr2 0.2482 0.2482 0.9919 1
In1 0.0000 0.0000 0.5000 1
```

Formation enthalpy at 0 K, eV/f.u.: 4.4

=====

## LaPrInRh (PBE)

Data for crystalline LaPrInRh at its relaxed geometry.

```
data_LaPrInRh
_symmetry_space_group_name_H-M 'F -4 3 m'
_symmetry_Int_Tables_number 216
_symmetry_space_group_name_Hall 'F -4 2 3'
_cell_length_a 7.5328
_cell_length_b 7.5328
_cell_length_c 7.5328
_cell_angle_alpha 90.00
_cell_angle_beta 90.00
_cell_angle_gamma 90.00
loop_
_atom_site_label
_atom_site_fract_x
_atom_site_fract_y
_atom_site_fract_z
_atom_site_occupancy
La1 0.0000 0.0000 0.0000 1
Pr1 0.0000 0.0000 0.5000 1
In1 0.2500 0.2500 0.7500 1
Rh1 0.2500 0.2500 0.2500 1
```

Formation enthalpy at 0 K, eV/f.u.: -1.7

=====

## La2PrSc2In5 (PBE)

Data for crystalline La2PrSc2In5 at its relaxed geometry.

```
data_La2PrSc2In5
_symmetry_space_group_name_H-M 'P 4/m b m'
_symmetry_Int_Tables_number 127
_symmetry_space_group_name_Hall '-P 4 2ab'
_cell_length_a 10.8365
_cell_length_b 10.8365
_cell_length_c 4.7089
_cell_angle_alpha 90.00
_cell_angle_beta 90.00
_cell_angle_gamma 90.00
loop_
_atom_site_label
_atom_site_fract_x
_atom_site_fract_y
_atom_site_fract_z
_atom_site_occupancy
La1 0.1786 0.3214 0.0000 1
Pr1 0.0000 0.0000 0.0000 1
Sc1 0.1177 0.6177 0.0000 1
In1 0.0000 0.5000 0.5000 1
In2 0.0647 0.7927 0.5000 1
```

Formation enthalpy at 0 K, eV/f.u.: -4.1

=====

- Which of these has the lowest formation enthalpy at 0 K?
  La2PrSc2In5